A plane-wave DFT calculation with GGA-PBE was carried out for a geometry-optimized Y3U2Se6 structure.

a b c (Å): 20.373 20.373 20.373
angles (deg): 11.48 11.48 11.48
Positions (direct):
Y: 0.000 0.000 0.000
Y: 0.277 0.277 0.277
Y: 0.723 0.723 0.723
U: 0.444 0.444 0.444
U: 0.556 0.556 0.556
Se: 0.083 0.083 0.083
Se: 0.197 0.197 0.197
Se: 0.361 0.361 0.361
Se: 0.639 0.639 0.639
Se: 0.803 0.803 0.803
Se: 0.917 0.917 0.917

## Properties
**Volume**: 26.469 Å³ per atom
**Uncorrected formation energy**: -1.46 eV per atom